No. 1
{"formula": "TlAgBr2", "functional": "GGA-PBEsol", "state": "optimized geometry", "dos_at_fermi_per_ev_cell": 0.00, "formation_energy_uncorrected_ev_per_atom": -0.504, "lattice": [[2.107, 1.216, 7.214], [-2.107, 1.216, 7.214], [0.000, -2.433, 7.214]], "species": ["Tl", "Ag", "Br", "Br"], "fractional_positions": [[0.000, 0.000, 0.000], [0.500, 0.500, 0.500], [0.235, 0.235, 0.235], [0.765, 0.765, 0.765]]}

No. 2
{"formula": "TlAg2Br", "functional": "GGA-PBEsol", "state": "optimized geometry", "polymorph_energy_kj_per_mol_fu": 0, "dos_at_fermi_per_ev_cell": 1.10, "formation_energy_uncorrected_ev_per_atom": 0.084, "lattice": [[3.099, -4.979, 0.000], [3.099, 4.979, 0.000], [-2.018, 0.000, 2.911]], "species": ["Tl", "Ag", "Ag", "Br"], "fractional_positions": [[0.000, 0.000, 0.000], [0.000, 0.500, 0.500], [0.500, 0.000, 0.500], [0.500, 0.500, 0.000]]}

No. 3
{"formula": "TlAg2Br", "functional": "GGA-PBEsol", "state": "optimized geometry", "polymorph_energy_kj_per_mol_fu": 54, "dos_at_fermi_per_ev_cell": 0.87, "formation_energy_uncorrected_ev_per_atom": 0.224, "lattice": [[0.000, 3.593, 3.593], [3.593, 0.000, 3.593], [3.593, 3.593, 0.000]], "species": ["Tl", "Ag", "Ag", "Br"], "fractional_positions": [[0.000, 0.000, 0.000], [0.500, 0.500, 0.500], [0.750, 0.750, 0.750], [0.250, 0.250, 0.250]]}

No. 4
{"formula": "TlAgBr2", "functional": "GGA-PBEsol", "state": "optimized geometry", "formation_energy_uncorrected_ev_per_atom": -0.445, "lattice": [[-2.079, 3.085, 4.250], [2.079, -3.085, 4.250], [2.079, 3.085, -4.250]], "species": ["Tl", "Ag", "Br", "Br"], "fractional_positions": [[0.000, 0.000, 0.000], [0.500, 0.500, 0.000], [0.295, 0.795, 0.500], [0.705, 0.205, 0.500]]}

No. 5
{"formula": "Tl2AgBr", "functional": "GGA-PBEsol", "state": "optimized geometry", "dos_at_fermi_per_ev_cell": 0.55, "formation_energy_uncorrected_ev_per_atom": -0.088, "lattice": [[0.000, 3.751, 3.751], [3.751, 0.000, 3.751], [3.751, 3.751, 0.000]], "species": ["Tl", "Tl", "Ag", "Br"], "fractional_positions": [[0.250, 0.250, 0.250], [0.750, 0.750, 0.750], [0.000, 0.000, 0.000], [0.500, 0.500, 0.500]]}

No. 6
{"formula": "TlAg2Br", "functional": "GGA-PBEsol", "state": "optimized geometry", "polymorph_energy_kj_per_mol_fu": 3, "dos_at_fermi_per_ev_cell": 0.94, "formation_energy_uncorrected_ev_per_atom": 0.093, "lattice": [[-1.999, 1.999, 5.614], [1.999, -1.999, 5.614], [1.999, 1.999, -5.614]], "species": ["Tl", "Ag", "Ag", "Br"], "fractional_positions": [[0.000, 0.000, 0.000], [0.500, 0.500, 0.000], [0.750, 0.250, 0.500], [0.250, 0.750, 0.500]]}

No. 7
{"formula": "TlAg2Br", "functional": "GGA-PBEsol", "state": "optimized geometry", "polymorph_energy_kj_per_mol_fu": 20, "dos_at_fermi_per_ev_cell": 1.09, "formation_energy_uncorrected_ev_per_atom": 0.134, "lattice": [[4.437, 0.000, 0.000], [0.000, 4.437, 0.000], [0.000, 0.000, 4.486]], "species": ["Tl", "Ag", "Ag", "Br"], "fractional_positions": [[0.000, 0.000, 0.000], [0.000, 0.500, 0.500], [0.500, 0.000, 0.500], [0.500, 0.500, 0.000]]}

No. 8
{"formula": "Tl2AgBr", "functional": "GGA-PBEsol", "state": "optimized geometry", "dos_at_fermi_per_ev_cell": 2.00, "formation_energy_uncorrected_ev_per_atom": -0.088, "lattice": [[1.920, 1.108, 8.273], [-1.920, 1.108, 8.273], [0.000, -2.217, 8.273]], "species": ["Tl", "Tl", "Ag", "Br"], "fractional_positions": [[0.000, 0.000, 0.000], [0.237, 0.237, 0.237], [0.739, 0.739, 0.739], [0.475, 0.475, 0.475]]}

No. 9
{"formula": "TlAgBr2", "functional": "GGA-PBEsol", "state": "optimized geometry", "dos_at_fermi_per_ev_cell": 0.00, "formation_energy_uncorrected_ev_per_atom": -0.493, "lattice": [[-3.918, 3.918, 3.744], [3.918, -3.918, 3.744], [3.918, 3.918, -3.744]], "species": ["Tl", "Tl", "Ag", "Ag", "Br", "Br", "Br", "Br"], "fractional_positions": [[0.000, 0.000, 0.000], [0.750, 0.250, 0.500], [0.250, 0.750, 0.500], [0.500, 0.500, 0.000], [0.182, 0.625, 0.057], [0.375, 0.432, 0.557], [0.568, 0.125, 0.943], [0.875, 0.818, 0.443]]}

No. 10
{"formula": "TlAgBr2", "functional": "GGA-PBEsol", "state": "optimized geometry", "formation_energy_uncorrected_ev_per_atom": -0.446, "lattice": [[3.901, 0.000, 0.000], [0.000, 3.901, 0.000], [0.000, 0.000, 8.018]], "species": ["Tl", "Ag", "Br", "Br"], "fractional_positions": [[0.000, 0.000, 0.000], [0.500, 0.500, 0.521], [0.000, 0.000, 0.588], [0.500, 0.500, 0.187]]}

No. 11
{"formula": "TlAgBr2", "functional": "GGA-PBEsol", "state": "optimized geometry", "dos_at_fermi_per_ev_cell": 0.00, "formation_energy_uncorrected_ev_per_atom": -0.449, "lattice": [[-1.869, 1.964, 7.516], [1.869, -1.964, 7.516], [1.869, 1.964, -7.516]], "species": ["Tl", "Ag", "Br", "Br"], "fractional_positions": [[0.000, 0.000, 0.000], [0.243, 0.743, 0.500], [0.387, 0.387, 0.000], [0.678, 0.178, 0.500]]}

No. 12
{"formula": "YAgBr2", "functional": "GGA-PBEsol", "state": "optimized geometry", "polymorph_energy_kj_per_mol_fu": 28, "dos_at_fermi_per_ev_cell": 1.84, "formation_energy_uncorrected_ev_per_atom": -0.802, "lattice": [[1.800, 1.039, 9.278], [-1.800, 1.039, 9.278], [0.000, -2.078, 9.278]], "species": ["Y", "Ag", "Br", "Br"], "fractional_positions": [[0.000, 0.000, 0.000], [0.500, 0.500, 0.500], [0.265, 0.265, 0.265], [0.735, 0.735, 0.735]]}

No. 13
{"formula": "YAgBr2", "functional": "GGA-PBEsol", "state": "optimized geometry", "polymorph_energy_kj_per_mol_fu": 110, "formation_energy_uncorrected_ev_per_atom": -0.589, "lattice": [[0.000, 3.602, 3.602], [3.602, 0.000, 3.602], [3.602, 3.602, 0.000]], "species": ["Y", "Ag", "Br", "Br"], "fractional_positions": [[0.000, 0.000, 0.000], [0.750, 0.750, 0.750], [0.250, 0.250, 0.250], [0.500, 0.500, 0.500]]}

No. 14
{"formula": "YAgBr2", "functional": "GGA-PBEsol", "state": "optimized geometry", "polymorph_energy_kj_per_mol_fu": 30, "dos_at_fermi_per_ev_cell": 1.04, "formation_energy_uncorrected_ev_per_atom": -0.796, "lattice": [[3.615, 0.000, 0.000], [0.000, 3.615, 0.000], [0.000, 0.000, 6.734]], "species": ["Y", "Ag", "Br", "Br"], "fractional_positions": [[0.000, 0.000, 0.000], [0.000, 0.000, 0.500], [0.500, 0.500, 0.233], [0.500, 0.500, 0.767]]}

No. 15
{"formula": "YAgBr2", "functional": "GGA-PBEsol", "state": "optimized geometry", "polymorph_energy_kj_per_mol_fu": 0, "dos_at_fermi_per_ev_cell": 1.36, "formation_energy_uncorrected_ev_per_atom": -0.875, "lattice": [[3.625, 0.000, 0.000], [0.000, 3.625, 0.000], [0.000, 0.000, 7.705]], "species": ["Y", "Ag", "Br", "Br"], "fractional_positions": [[0.000, 0.000, 0.000], [0.500, 0.500, 0.208], [0.000, 0.000, 0.375], [0.500, 0.500, 0.760]]}

No. 16
{"formula": "ZnAg2Br", "functional": "GGA-PBEsol", "state": "optimized geometry", "polymorph_energy_kj_per_mol_fu": 1, "dos_at_fermi_per_ev_cell": 0.93, "formation_energy_uncorrected_ev_per_atom": 0.020, "lattice": [[4.019, -1.712, 0.000], [4.019, 1.712, 0.000], [-1.166, 0.000, 5.780]], "species": ["Zn", "Ag", "Ag", "Br"], "fractional_positions": [[0.000, 0.000, 0.000], [0.266, 0.266, 0.812], [0.734, 0.734, 0.188], [0.500, 0.500, 0.500]]}

No. 17
{"formula": "ZnAgBr", "functional": "GGA-PBEsol", "state": "optimized geometry", "dos_at_fermi_per_ev_cell": 0.61, "formation_energy_uncorrected_ev_per_atom": 0.043, "lattice": [[-1.623, 1.623, 5.566], [1.623, -1.623, 5.566], [1.623, 1.623, -5.566]], "species": ["Zn", "Ag", "Br"], "fractional_positions": [[0.000, 0.000, 0.000], [0.632, 0.632, 0.000], [0.342, 0.342, 0.000]]}

No. 18
{"formula": "ZnAg2Br", "functional": "GGA-PBEsol", "state": "optimized geometry", "polymorph_energy_kj_per_mol_fu": 0, "dos_at_fermi_per_ev_cell": 1.04, "formation_energy_uncorrected_ev_per_atom": 0.017, "lattice": [[-1.720, 1.899, 6.145], [1.720, -1.899, 6.145], [1.720, 1.899, -6.145]], "species": ["Zn", "Ag", "Ag", "Br"], "fractional_positions": [[0.000, 0.000, 0.000], [0.466, 0.466, 0.000], [0.651, 0.151, 0.500], [0.262, 0.762, 0.500]]}

No. 19
{"formula": "Zn2Ag2Br", "functional": "GGA-PBEsol", "state": "optimized geometry", "dos_at_fermi_per_ev_cell": 1.33, "formation_energy_uncorrected_ev_per_atom": 0.074, "lattice": [[-1.932, 1.932, 6.368], [1.932, -1.932, 6.368], [1.932, 1.932, -6.368]], "species": ["Zn", "Zn", "Ag", "Ag", "Br"], "fractional_positions": [[0.100, 0.100, 0.000], [0.900, 0.900, 0.000], [0.250, 0.750, 0.500], [0.750, 0.250, 0.500], [0.500, 0.500, 0.000]]}

No. 20
{"formula": "ZrAgBr2", "functional": "GGA-PBEsol", "state": "optimized geometry", "polymorph_energy_kj_per_mol_fu": 186, "dos_at_fermi_per_ev_cell": 3.70, "formation_energy_uncorrected_ev_per_atom": -0.124, "lattice": [[3.266, -3.670, 0.000], [3.266, 3.670, 0.000], [0.000, 0.000, 3.355]], "species": ["Zr", "Ag", "Br", "Br"], "fractional_positions": [[0.000, 0.000, 0.000], [0.500, 0.500, 0.000], [0.000, 0.500, 0.500], [0.500, 0.000, 0.500]]}

No. 21
{"formula": "ZrAgBr2", "functional": "GGA-PBEsol", "state": "optimized geometry", "polymorph_energy_kj_per_mol_fu": 155, "dos_at_fermi_per_ev_cell": 3.17, "formation_energy_uncorrected_ev_per_atom": -0.206, "lattice": [[3.320, 0.000, 0.000], [0.000, 4.563, 0.000], [-0.049, 0.000, 5.860]], "species": ["Zr", "Ag", "Br", "Br"], "fractional_positions": [[0.000, 0.000, 0.000], [0.500, 0.000, 0.500], [0.203, 0.500, 0.760], [0.797, 0.500, 0.240]]}

No. 22
{"formula": "ZrAgBr2", "functional": "GGA-PBEsol", "state": "optimized geometry", "polymorph_energy_kj_per_mol_fu": 22, "dos_at_fermi_per_ev_cell": 1.48, "formation_energy_uncorrected_ev_per_atom": -0.549, "lattice": [[3.422, 0.000, 0.000], [0.000, 3.422, 0.000], [0.000, 0.000, 7.760]], "species": ["Zr", "Ag", "Br", "Br"], "fractional_positions": [[0.000, 0.000, 0.000], [0.500, 0.500, 0.210], [0.000, 0.000, 0.384], [0.500, 0.500, 0.776]]}

No. 23
{"formula": "Zr2AgBr", "functional": "GGA-PBEsol", "state": "optimized geometry", "polymorph_energy_kj_per_mol_fu": 0, "dos_at_fermi_per_ev_cell": 4.06, "formation_energy_uncorrected_ev_per_atom": -0.129, "lattice": [[3.396, -3.637, 0.000], [3.396, 3.637, 0.000], [-0.021, 0.000, 3.113]], "species": ["Zr", "Zr", "Ag", "Br"], "fractional_positions": [[0.000, 0.500, 0.000], [0.500, 0.000, 0.000], [0.000, 0.000, 0.500], [0.500, 0.500, 0.500]]}

No. 24
{"formula": "Zr2AgBr", "functional": "GGA-PBEsol", "state": "optimized geometry", "polymorph_energy_kj_per_mol_fu": 3, "dos_at_fermi_per_ev_cell": 2.86, "formation_energy_uncorrected_ev_per_atom": -0.120, "lattice": [[-1.597, 2.454, 5.141], [1.597, -2.454, 5.141], [1.597, 2.454, -5.141]], "species": ["Zr", "Zr", "Ag", "Br"], "fractional_positions": [[0.000, 0.000, 0.000], [0.746, 0.246, 0.500], [0.265, 0.765, 0.500], [0.528, 0.528, 0.000]]}

No. 25
{"formula": "ZrAg2Br", "functional": "GGA-PBEsol", "state": "optimized geometry", "polymorph_energy_kj_per_mol_fu": 31, "dos_at_fermi_per_ev_cell": 2.62, "formation_energy_uncorrected_ev_per_atom": 0.076, "lattice": [[3.902, 0.000, 0.000], [0.000, 3.902, 0.000], [0.000, 0.000, 5.068]], "species": ["Zr", "Ag", "Ag", "Br"], "fractional_positions": [[0.000, 0.000, 0.000], [0.000, 0.500, 0.500], [0.500, 0.000, 0.500], [0.500, 0.500, 0.000]]}

No. 26
{"formula": "ZrAgBr2", "functional": "GGA-PBEsol", "state": "optimized geometry", "polymorph_energy_kj_per_mol_fu": 0, "dos_at_fermi_per_ev_cell": 1.13, "formation_energy_uncorrected_ev_per_atom": -0.606, "lattice": [[1.660, 0.958, 9.740], [-1.660, 0.958, 9.740], [0.000, -1.917, 9.740]], "species": ["Zr", "Ag", "Br", "Br"], "fractional_positions": [[0.000, 0.000, 0.000], [0.500, 0.500, 0.500], [0.267, 0.267, 0.267], [0.733, 0.733, 0.733]]}

No. 27
{"formula": "ZrAg2Br", "functional": "GGA-PBEsol", "state": "optimized geometry", "polymorph_energy_kj_per_mol_fu": 0, "dos_at_fermi_per_ev_cell": 2.41, "formation_energy_uncorrected_ev_per_atom": -0.004, "lattice": [[3.177, 0.000, 0.000], [0.000, 4.583, 0.000], [0.000, 0.000, 5.264]], "species": ["Zr", "Ag", "Ag", "Br"], "fractional_positions": [[0.000, 0.000, 0.000], [0.000, 0.500, 0.500], [0.500, 0.000, 0.500], [0.500, 0.500, 0.000]]}

No. 28
{"formula": "AgC", "functional": "GGA-PBEsol", "state": "optimized geometry", "polymorph_energy_kj_per_mol_fu": 0, "formation_energy_mev_per_atom": 1273, "lattice": [[4.889, 0.000, 0.000], [-2.444, 4.234, 0.000], [0.000, 0.000, 5.420]], "species": ["Ag", "Ag", "Ag", "Ag", "C", "C", "C", "C"], "fractional_positions": [[0.000, 0.000, 0.250], [0.000, 0.000, 0.750], [0.333, 0.667, 0.250], [0.667, 0.333, 0.750], [0.333, 0.667, 0.633], [0.333, 0.667, 0.867], [0.667, 0.333, 0.133], [0.667, 0.333, 0.367]]}

No. 29
{"formula": "Ag3C5", "functional": "GGA-PBEsol", "state": "optimized geometry", "formation_energy_mev_per_atom": 2232, "dos_at_fermi_per_ev_cell": 3.57, "lattice": [[2.536, 0.000, 0.000], [0.000, 2.536, 0.000], [0.000, 0.000, 12.843]], "species": ["Ag", "Ag", "Ag", "C", "C", "C", "C", "C"], "fractional_positions": [[0.000, 0.000, 0.000], [0.500, 0.500, 0.371], [0.500, 0.500, 0.629], [0.000, 0.000, 0.179], [0.000, 0.000, 0.500], [0.000, 0.000, 0.821], [0.500, 0.500, 0.190], [0.500, 0.500, 0.810]]}

No. 30
{"formula": "AgC", "functional": "GGA-PBEsol", "state": "optimized geometry", "polymorph_energy_kj_per_mol_fu": 185, "formation_energy_mev_per_atom": 2230, "dos_at_fermi_per_ev_cell": 3.78, "lattice": [[5.606, 0.000, 0.000], [-2.803, 4.855, 0.000], [0.000, 0.000, 2.845]], "species": ["Ag", "Ag", "Ag", "C", "C", "C"], "fractional_positions": [[0.000, 0.615, 0.000], [0.385, 0.385, 0.000], [0.615, 0.000, 0.000], [0.000, 0.000, 0.000], [0.333, 0.667, 0.500], [0.667, 0.333, 0.500]]}